[1]
# TlNi2Os

A relaxed TlNi2Os crystal (PBE-GGA, the Alexandria database).

Unit cell a=2.836 b=2.836 c=7.381 alpha=90.00 beta=90.00 gamma=90.00
Space group P4/mmm (No. 123)
Unique sites:
Tl 0.000 0.000 0.000 (multiplicity 1)
Ni 0.500 0.500 0.283 (multiplicity 2)
Os 0.000 0.000 0.500 (multiplicity 1)

Computed properties:
For the formation energy from the elements, the calculation gives 0.43 eV/atom. The value obtained for the magnetization is 0.000 μB per atom.

[2]
# TlNi2Os

A relaxed TlNi2Os crystal (PBE-GGA, the Alexandria database).

Unit cell a=3.871 b=3.871 c=7.835 alpha=90.00 beta=90.00 gamma=90.00
Space group I-4m2 (No. 119)
Unique sites:
Tl 0.000 0.000 0.000 (multiplicity 2)
Ni 0.000 0.000 0.500 (multiplicity 2)
Ni 0.000 0.500 0.750 (multiplicity 2)
Os 0.000 0.500 0.250 (multiplicity 2)

Computed properties:
For the formation energy from the elements, the calculation gives 0.62 eV/atom. The value obtained for the magnetization is 0.437 μB per atom.

[3]
# TlNi2Os

A relaxed TlNi2Os crystal (PBE-GGA, the Alexandria database).

Unit cell a=3.971 b=3.971 c=17.032 alpha=90.00 beta=90.00 gamma=90.00
Space group I-42d (No. 122)
Unique sites:
Tl 0.000 0.000 0.000 (multiplicity 4)
Ni 0.181 0.250 0.625 (multiplicity 8)
Os 0.000 0.000 0.500 (multiplicity 4)

Computed properties:
For the formation energy from the elements, the calculation gives 0.93 eV/atom. The value obtained for the magnetization is 0.198 μB per atom.

[4]
# TlNi2Os

A relaxed TlNi2Os crystal (PBE-GGA, the Alexandria database).

Unit cell a=6.155 b=6.155 c=6.155 alpha=90.00 beta=90.00 gamma=90.00
Space group Fm-3m (No. 225)
Unique sites:
Tl 0.000 0.000 0.000 (multiplicity 4)
Ni 0.250 0.250 0.250 (multiplicity 8)
Os 0.000 0.000 0.500 (multiplicity 4)

Computed properties:
For the formation energy from the elements, the calculation gives 0.61 eV/atom. The value obtained for the magnetization is 0.434 μB per atom.

[5]
# Tl2NiOs

A relaxed Tl2NiOs crystal (PBE-GGA, the Alexandria database).

Unit cell a=6.659 b=6.659 c=6.659 alpha=90.00 beta=90.00 gamma=90.00
Space group F-43m (No. 216)
Unique sites:
Tl 0.000 0.000 0.000 (multiplicity 4)
Tl 0.250 0.250 0.250 (multiplicity 4)
Ni 0.000 0.000 0.500 (multiplicity 4)
Os 0.250 0.250 0.750 (multiplicity 4)

Computed properties:
For the formation energy from the elements, the calculation gives 1.08 eV/atom. The value obtained for the magnetization is 0.000 μB per atom.

[6]
# TlNi2Os

A relaxed TlNi2Os crystal (PBE-GGA, the Alexandria database).

Unit cell a=8.466 b=2.878 c=5.045 alpha=90.00 beta=99.23 gamma=90.00
Space group C2/m (No. 12)
Unique sites:
Tl 0.000 0.000 0.000 (multiplicity 2)
Ni 0.241 0.000 0.700 (multiplicity 4)
Os 0.000 0.500 0.500 (multiplicity 2)

Computed properties:
For the formation energy from the elements, the calculation gives 0.56 eV/atom. The value obtained for the magnetization is 0.163 μB per atom.

[7]
# TlNi2Os

A relaxed TlNi2Os crystal (PBE-GGA, the Alexandria database).

Unit cell a=2.965 b=2.965 c=6.692 alpha=90.00 beta=90.00 gamma=90.00
Space group P4mm (No. 99)
Unique sites:
Tl 0.000 0.000 0.000 (multiplicity 1)
Ni 0.000 0.000 0.474 (multiplicity 1)
Ni 0.500 0.500 0.276 (multiplicity 1)
Os 0.500 0.500 0.676 (multiplicity 1)

Computed properties:
For the formation energy from the elements, the calculation gives 0.51 eV/atom. The value obtained for the magnetization is 0.000 μB per atom.

[8]
# Tl2NiOs

A relaxed Tl2NiOs crystal (PBE-GGA, the Alexandria database).

Unit cell a=3.1250 b=3.1250 c=25.6942 alpha=90.00 beta=90.00 gamma=120.00
Space group R-3m (No. 166, hexagonal axes)
Unique sites:
Tl 0.0000 0.0000 0.2458 (multiplicity 6)
Ni 0.0000 0.0000 0.5000 (multiplicity 3)
Os 0.0000 0.0000 0.0000 (multiplicity 3)

Computed properties:
For the formation energy from the elements, the calculation gives 0.80 eV/atom. The value obtained for the magnetization is 0.000 μB per atom.

[9]
# Tl2NiOs

A relaxed Tl2NiOs crystal (PBE-GGA, the Alexandria database).

Unit cell a=3.226 b=4.433 c=5.201 alpha=90.00 beta=90.00 gamma=90.00
Space group Pmmm (No. 47)
Unique sites:
Tl 0.000 0.000 0.000 (multiplicity 1)
Tl 0.500 0.000 0.500 (multiplicity 1)
Ni 0.000 0.500 0.500 (multiplicity 1)
Os 0.500 0.500 0.000 (multiplicity 1)

Computed properties:
For the formation energy from the elements, the calculation gives 0.92 eV/atom. The value obtained for the magnetization is 0.000 μB per atom.

[10]
# Tl2NiOs

A relaxed Tl2NiOs crystal (PBE-GGA, the Alexandria database).

Unit cell a=3.401 b=4.998 c=8.549 alpha=90.00 beta=90.00 gamma=90.00
Space group Immm (No. 71)
Unique sites:
Tl 0.000 0.000 0.234 (multiplicity 4)
Ni 0.000 0.500 0.500 (multiplicity 2)
Os 0.000 0.500 0.000 (multiplicity 2)

Computed properties:
For the formation energy from the elements, the calculation gives 0.89 eV/atom. The value obtained for the magnetization is 0.000 μB per atom.

[11]
# Tm8NiOs2

A relaxed Tm8NiOs2 crystal (PBE-GGA, the Alexandria database).

Unit cell a=8.429 b=12.265 c=5.698 alpha=90.00 beta=108.08 gamma=90.00
Space group Cm (No. 8)
Unique sites:
Tm 0.000 0.000 0.000 (multiplicity 2)
Tm 0.074 0.369 0.787 (multiplicity 4)
Tm 0.164 0.131 0.589 (multiplicity 4)
Tm 0.229 0.500 0.385 (multiplicity 2)
Tm 0.365 0.216 0.194 (multiplicity 4)
Ni 0.361 0.000 0.347 (multiplicity 2)
Os 0.370 0.312 0.691 (multiplicity 4)

Computed properties:
For the formation energy from the elements, the calculation gives -0.20 eV/atom. The value obtained for the magnetization is 0.000 μB per atom.

[12]
# Tm8Ni2Os

A relaxed Tm8Ni2Os crystal (PBE-GGA, the Alexandria database).

Unit cell a=8.110 b=12.373 c=5.764 alpha=90.00 beta=108.52 gamma=90.00
Space group Cm (No. 8)
Unique sites:
Tm 0.000 0.000 0.000 (multiplicity 2)
Tm 0.062 0.372 0.780 (multiplicity 4)
Tm 0.152 0.128 0.594 (multiplicity 4)
Tm 0.216 0.500 0.354 (multiplicity 2)
Tm 0.360 0.216 0.178 (multiplicity 4)
Ni 0.355 0.309 0.678 (multiplicity 4)
Os 0.360 0.000 0.028 (multiplicity 2)

Computed properties:
For the formation energy from the elements, the calculation gives -0.18 eV/atom. The value obtained for the magnetization is 0.000 μB per atom.

[13]
# Tm7Ni2Os2

A relaxed Tm7Ni2Os2 crystal (PBE-GGA, the Alexandria database).

Unit cell a=8.393 b=10.101 c=6.704 alpha=90.00 beta=90.00 gamma=90.00
Space group Cmmm (No. 65)
Unique sites:
Tm 0.000 0.000 0.000 (multiplicity 2)
Tm 0.000 0.500 0.254 (multiplicity 4)
Tm 0.250 0.250 0.258 (multiplicity 8)
Ni 0.232 0.000 0.500 (multiplicity 4)
Os 0.000 0.277 0.000 (multiplicity 4)

Computed properties:
For the formation energy from the elements, the calculation gives -0.10 eV/atom. The value obtained for the magnetization is 0.000 μB per atom.

[14]
# Tm6NiOs2

A relaxed Tm6NiOs2 crystal (PBE-GGA, the Alexandria database).

Unit cell a=6.403 b=7.387 c=10.948 alpha=90.00 beta=123.80 gamma=90.00
Space group P2_1/c (No. 14)
Unique sites:
Tm 0.088 0.045 0.241 (multiplicity 4)
Tm 0.219 0.672 0.065 (multiplicity 4)
Tm 0.402 0.174 0.066 (multiplicity 4)
Ni 0.500 0.000 0.500 (multiplicity 2)
Os 0.298 0.122 0.758 (multiplicity 4)

Computed properties:
For the formation energy from the elements, the calculation gives -0.28 eV/atom. The value obtained for the magnetization is 0.000 μB per atom.

Number 1: calculated density 14.322 g/cm3. Number 2: calculated density 14.483 g/cm3. Number 3: calculated density 12.661 g/cm3. Number 4: calculated density 14.586 g/cm3. Number 5: calculated density 14.794 g/cm3. Number 6: calculated density 14.015 g/cm3. Number 7: calculated density 14.449 g/cm3. Number 8: calculated density 15.077 g/cm3. Number 9: calculated density 14.682 g/cm3. Number 10: calculated density 15.027 g/cm3. Number 11: calculated density 10.620 g/cm3. Number 12: calculated density 10.048 g/cm3. Number 13: calculated density 9.819 g/cm3. Number 14: calculated density 11.213 g/cm3.